PBE Sm2PaPb, relaxed; space-group type = P4/mmm, No. 123; calculated formation energy = -46 meV per atom; density of states at the Fermi level = 6.63 states/eV per cell; total moment = 0.001 μB per atom; polymorph energy (0 for the lowest one) = 0.014 eV/atom; crystal system = tetragonal
1.0
3.4381 0.0000 0.0000
0.0000 3.4381 0.0000
0.0000 0.0000 9.9039
Pb Pa Sm
1 1 2
Direct
0.5000 0.5000 0.5000
0.5000 0.5000 0.0000
0.0000 0.0000 0.7489
0.0000 0.0000 0.2511

PBE InFeAs3, relaxed; space-group type = Pm-3m, No. 221; calculated formation energy = 350 meV per atom; density of states at the Fermi level = 6.28 states/eV per cell; total moment = 0.000 μB per atom; polymorph energy (0 for the lowest one) = 0.000 eV/atom; crystal system = cubic
1.0
-4.2099 -0.6533 -1.9140
1.5863 -3.8085 -2.1892
-1.2545 -2.6234 3.6548
As Fe In
3 1 1
Direct
0.0000 0.5000 0.0000
0.0000 0.0000 0.5000
0.5000 0.0000 0.0000
0.0000 0.0000 0.0000
0.5000 0.5000 0.5000